Computed, not measured: a relaxed structure of Tc7P6 at the GGA-PBE level of DFT.

Symmetry ... R-3m
Size of the total moment ... 0.00 μB/atom
ΔH_f (0 K) ... 2.24 eV per formula unit

Cell lengths 8.7553, 8.7553, 8.7553 Å; angles 35.41, 35.41, 35.41 degrees
With the nearest neighbours (Å) after each atom.
Sites, in units of the cell vectors:
Tc1 0.0000 0.0000 0.0000  6 Tc 2.73
Tc2 0.0740 0.0740 0.5757  3 P 2.39-2.43, 4 Tc 2.65-2.67
Tc3 0.0740 0.5757 0.0740  3 P 2.39-2.43, 4 Tc 2.65-2.67
Tc4 0.4243 0.9260 0.9260  3 P 2.39-2.43, 4 Tc 2.65-2.67
Tc5 0.5757 0.0740 0.0740  3 P 2.39-2.43, 4 Tc 2.65-2.67
Tc6 0.9260 0.4243 0.9260  3 P 2.39-2.43, 4 Tc 2.65-2.67
Tc7 0.9260 0.9260 0.4243  3 P 2.39-2.43, 4 Tc 2.65-2.67
P1 0.1666 0.1666 0.1666  6 Tc 2.39-2.40
P2 0.3178 0.3178 0.3178  3 Tc 2.43
P3 0.4479 0.4479 0.4479  1 P 2.56, 6 Tc 2.72
P4 0.5521 0.5521 0.5521  1 P 2.56, 6 Tc 2.72
P5 0.6822 0.6822 0.6822  3 Tc 2.43
P6 0.8334 0.8334 0.8334  6 Tc 2.39-2.40